Entry 1:
KZn2Pt (PBE-GGA, optimized geometry); V = 18.809 Å³ per atom; crystal system = orthorhombic; distance to the lowest polymorph of the same formula = 551 meV per atom; raw total energy = -8.73 eV per cell; DOS(E_F) = 1.35 states/eV/cell; ΔH_f (0 K) = 239.7 meV per atom
1.0
-2.7845 -4.1828 -0.7148
1.3669 -1.6557 4.5989
-2.3153 1.3412 1.1710
K Pt Zn
1 1 2
direct
0.5000 0.0000 0.5000
0.0000 0.5000 0.5000
0.0000 0.0000 0.0000
0.5000 0.5000 0.0000

***

Entry 2:
KZnPt2 (PBE-GGA, optimized geometry); V = 27.403 Å³ per atom; crystal system = tetragonal; raw total energy = -29.31 eV per cell; DOS(E_F) = 4.54 states/eV/cell; ΔH_f (0 K) = -50.5 meV per atom
1.0
5.0433 0.0000 0.0000
0.0000 5.0433 0.0000
2.5217 2.5217 8.6190
Zn K Pt
2 2 4
direct
0.0000 0.0000 0.0000
0.7500 0.2500 0.5000
0.5000 0.5000 0.0000
0.2500 0.7500 0.5000
0.8282 0.1250 0.2500
0.9218 0.6250 0.2500
0.3750 0.1718 0.7500
0.8750 0.0782 0.7500

***

Entry 3:
KZn2Pt (PBE-GGA, optimized geometry); V = 26.852 Å³ per atom; crystal system = orthorhombic; distance to the lowest polymorph of the same formula = 55 meV per atom; raw total energy = -42.84 eV per cell; DOS(E_F) = 5.70 states/eV/cell; ΔH_f (0 K) = -256.0 meV per atom
1.0
-0.0142 -4.8256 0.5611
6.0370 0.5951 5.2711
-7.2634 0.9759 8.2087
K Zn Pt
4 8 4
direct
0.7500 0.6587 0.3792
0.7500 0.1587 0.1208
0.2500 0.3413 0.6208
0.2500 0.8413 0.8792
0.7500 0.5854 0.0721
0.2500 0.4146 0.9279
0.7500 0.0854 0.4279
0.2500 0.9146 0.5721
0.7500 0.1484 0.7832
0.2500 0.3516 0.2832
0.7500 0.6484 0.7168
0.2500 0.8516 0.2168
0.2500 0.0719 0.3693
0.7500 0.9281 0.6307
0.2500 0.5719 0.1307
0.7500 0.4281 0.8693

***

Entry 4:
K4ZnPt (PBE-GGA, optimized geometry); V = 37.926 Å³ per atom; crystal system = cubic; raw total energy = -8.52 eV per cell; DOS(E_F) = 1.84 states/eV/cell; ΔH_f (0 K) = 531.0 meV per atom
1.0
4.8495 -0.1184 4.8404
-0.7073 -4.0807 5.4597
4.0093 -5.5134 0.6993
K Zn Pt
4 1 1
direct
0.8698 0.3767 0.3767
0.3767 0.3767 0.8698
0.3767 0.8698 0.3767
0.3767 0.3767 0.3767
0.0000 0.0000 0.0000
0.7500 0.7500 0.7500

***

Entry 5:
KZn2Pt (PBE-GGA, optimized geometry); V = 23.876 Å³ per atom; crystal system = orthorhombic; distance to the lowest polymorph of the same formula = 311 meV per atom; raw total energy = -9.69 eV per cell; DOS(E_F) = 0.88 states/eV/cell; ΔH_f (0 K) = -0.2 meV per atom
1.0
-3.9963 -3.5114 -0.6281
-0.2462 -1.7052 5.0722
-0.6851 4.7410 -2.3976
K Pt Zn
1 1 2
direct
0.7500 0.2500 0.5000
0.2500 0.7500 0.5000
0.0698 0.0698 0.0000
0.4302 0.4302 0.0000

***

Entry 6:
KZnPt3 (PBE-GGA, optimized geometry); V = 24.533 Å³ per atom; crystal system = cubic; distance to the lowest polymorph of the same formula = 1568 meV per atom; raw total energy = -10.51 eV per cell; DOS(E_F) = 9.47 states/eV/cell; ΔH_f (0 K) = 1996.6 meV per atom
1.0
4.9687 0.0000 0.0000
0.0000 4.9687 0.0000
0.0000 0.0000 4.9687
Zn K Pt
1 1 3
direct
0.5000 0.5000 0.5000
0.0000 0.0000 0.0000
0.0000 0.5000 0.0000
0.0000 0.0000 0.5000
0.5000 0.0000 0.0000

***

Entry 7:
KZn2Pt (PBE-GGA, optimized geometry); V = 19.791 Å³ per atom; crystal system = orthorhombic; distance to the lowest polymorph of the same formula = 375 meV per atom; raw total energy = -9.43 eV per cell; DOS(E_F) = 1.20 states/eV/cell; ΔH_f (0 K) = 64.3 meV per atom
1.0
6.0557 0.0227 -0.0047
3.1060 5.1986 0.0047
-3.7928 -3.9935 2.5178
K Pt Zn
1 1 2
direct
0.4904 0.4904 0.0000
0.2128 0.7128 0.5000
0.0144 0.0144 0.0000
0.7824 0.2824 0.5000

***

Entry 8:
K2Zn4Pt (PBE-GGA, optimized geometry); V = 30.316 Å³ per atom; crystal system = tetragonal; raw total energy = -14.11 eV per cell; DOS(E_F) = 3.18 states/eV/cell; ΔH_f (0 K) = -110.9 meV per atom
1.0
4.9714 0.0000 0.0000
0.0000 4.9714 0.0000
2.4857 2.4857 8.5864
Zn K Pt
4 2 1
direct
0.8567 0.8567 0.2866
0.1433 0.1433 0.7134
0.0000 0.5000 0.0000
0.5000 0.0000 0.0000
0.6502 0.6502 0.6997
0.3498 0.3498 0.3003
0.0000 0.0000 0.0000

***

Q: The lowest DOS(E_F) belongs to which entry?
A: number 5

***

Q: raw total energy of number 8 (K2Zn4Pt)?
A: -14.11 eV per cell